# 1
The following is a PBE calculation of a geometry-optimized RbScGe structure, from the Alexandria database.

```
data_RbScGe
_cell_length_a 5.194
_cell_length_b 5.194
_cell_length_c 5.194
_cell_angle_alpha 60.00
_cell_angle_beta 60.00
_cell_angle_gamma 60.00
_space_group_name_H-M_alt 'P 1'
_space_group_IT_number 1
loop_
_space_group_symop_operation_xyz
'x,y,z'
loop_
_atom_site_label
_atom_site_fract_x
_atom_site_fract_y
_atom_site_fract_z
Rb1 0.250 0.250 0.250
Ge1 0.500 0.500 0.500
Sc1 0.750 0.750 0.750
```

Properties
crystal system: cubic
SG: No. 216
energy of formation: 0.3598 eV/atom
size of the total moment: 0.000 μB per formula unit
offset from the most stable computed form: 720 meV per atom

# 2
The following is a PBE calculation of a geometry-optimized BaSr2Pb structure, from the Alexandria database.

```
data_BaSr2Pb
_cell_length_a 6.688
_cell_length_b 6.688
_cell_length_c 6.688
_cell_angle_alpha 130.67
_cell_angle_beta 130.67
_cell_angle_gamma 72.34
_space_group_name_H-M_alt 'P 1'
_space_group_IT_number 1
loop_
_space_group_symop_operation_xyz
'x,y,z'
loop_
_atom_site_label
_atom_site_fract_x
_atom_site_fract_y
_atom_site_fract_z
Sr1 0.000 0.000 0.000
Sr2 0.250 0.750 0.500
Ba1 0.500 0.500 0.000
Pb1 0.750 0.250 0.500
```

Properties
crystal system: tetragonal
SG: No. 119
energy of formation: -0.2376 eV/atom
size of the total moment: 0.000 μB per formula unit

# 3
The following is a PBE calculation of a geometry-optimized Pu2Ga6CoRu structure, from the Alexandria database.

```
data_Pu2Ga6CoRu
_cell_length_a 6.550
_cell_length_b 6.550
_cell_length_c 6.550
_cell_angle_alpha 60.00
_cell_angle_beta 60.00
_cell_angle_gamma 90.00
_space_group_name_H-M_alt 'P 1'
_space_group_IT_number 1
loop_
_space_group_symop_operation_xyz
'x,y,z'
loop_
_atom_site_label
_atom_site_fract_x
_atom_site_fract_y
_atom_site_fract_z
Ga1 0.757 0.757 0.000
Ga2 0.243 0.757 0.000
Ga3 0.757 0.243 0.000
Ga4 0.243 0.243 0.000
Ga5 0.243 0.243 0.514
Ga6 0.757 0.757 0.486
Pu1 0.250 0.750 0.500
Pu2 0.750 0.250 0.500
Co1 0.000 0.000 0.000
Ru1 0.500 0.500 0.000
```

Properties
crystal system: cubic
SG: No. 225
energy of formation: -0.2500 eV/atom
size of the total moment: 12.509 μB per formula unit

# 4
The following is a PBE calculation of a geometry-optimized TiSn2PdSe structure, from the Alexandria database.

```
data_TiSn2PdSe
_cell_length_a 5.327
_cell_length_b 4.713
_cell_length_c 5.327
_cell_angle_alpha 90.00
_cell_angle_beta 90.00
_cell_angle_gamma 90.00
_space_group_name_H-M_alt 'P 1'
_space_group_IT_number 1
loop_
_space_group_symop_operation_xyz
'x,y,z'
loop_
_atom_site_label
_atom_site_fract_x
_atom_site_fract_y
_atom_site_fract_z
Ti1 0.000 0.000 0.000
Se1 0.000 0.500 0.000
Sn1 0.500 0.000 0.000
Sn2 0.000 0.000 0.500
Pd1 0.500 0.500 0.500
```

Properties
crystal system: tetragonal
SG: No. 123
size of the total moment: 0.000 μB per formula unit
formation energy (no corrections): 0.24 eV per atom

# 5
The following is a PBE calculation of a geometry-optimized TlAgRu2I structure, from the Alexandria database.

```
data_TlAgRu2I
_cell_length_a 5.131
_cell_length_b 5.352
_cell_length_c 5.131
_cell_angle_alpha 90.00
_cell_angle_beta 90.00
_cell_angle_gamma 90.00
_space_group_name_H-M_alt 'P 1'
_space_group_IT_number 1
loop_
_space_group_symop_operation_xyz
'x,y,z'
loop_
_atom_site_label
_atom_site_fract_x
_atom_site_fract_y
_atom_site_fract_z
I1 0.500 0.500 0.500
Tl1 0.000 0.500 0.000
Ag1 0.000 0.000 0.000
Ru1 0.000 0.000 0.500
Ru2 0.500 0.000 0.000
```

Properties
crystal system: tetragonal
SG: No. 123
size of the total moment: 5.103 μB per formula unit
formation energy (no corrections): 1.59 eV per atom

# 6
The following is a PBE calculation of a geometry-optimized La2ScZnRu structure, from the Alexandria database.

```
data_La2ScZnRu
_cell_length_a 5.350
_cell_length_b 5.059
_cell_length_c 5.350
_cell_angle_alpha 90.00
_cell_angle_beta 90.00
_cell_angle_gamma 90.00
_space_group_name_H-M_alt 'P 1'
_space_group_IT_number 1
loop_
_space_group_symop_operation_xyz
'x,y,z'
loop_
_atom_site_label
_atom_site_fract_x
_atom_site_fract_y
_atom_site_fract_z
La1 0.500 0.000 0.000
La2 0.000 0.000 0.500
Zn1 0.000 0.500 0.000
Sc1 0.500 0.500 0.500
Ru1 0.000 0.000 0.000
```

Properties
crystal system: tetragonal
SG: No. 123
energy of formation: 0.0675 eV/atom
size of the total moment: 0.734 μB per formula unit

# 7
The following is a PBE calculation of a geometry-optimized CaBiAu2 structure, from the Alexandria database.

```
data_CaBiAu2
_cell_length_a 4.785
_cell_length_b 4.785
_cell_length_c 10.312
_cell_angle_alpha 76.58
_cell_angle_beta 76.58
_cell_angle_gamma 90.00
_space_group_name_H-M_alt 'P 1'
_space_group_IT_number 1
loop_
_space_group_symop_operation_xyz
'x,y,z'
loop_
_atom_site_label
_atom_site_fract_x
_atom_site_fract_y
_atom_site_fract_z
Ca1 0.250 0.750 0.500
Ca2 0.500 0.500 0.000
Au1 0.676 0.125 0.250
Au2 0.875 0.926 0.750
Au3 0.074 0.625 0.250
Au4 0.375 0.324 0.750
Bi1 0.750 0.250 0.500
Bi2 0.000 0.000 0.000
```

Properties
crystal system: tetragonal
SG: No. 122
energy of formation: -0.2772 eV/atom
size of the total moment: 0.000 μB per formula unit

# 8
The following is a PBE calculation of a geometry-optimized KRe2Te structure, from the Alexandria database.

```
data_KRe2Te
_cell_length_a 3.006
_cell_length_b 4.736
_cell_length_c 6.955
_cell_angle_alpha 90.00
_cell_angle_beta 90.00
_cell_angle_gamma 90.00
_space_group_name_H-M_alt 'P 1'
_space_group_IT_number 1
loop_
_space_group_symop_operation_xyz
'x,y,z'
loop_
_atom_site_label
_atom_site_fract_x
_atom_site_fract_y
_atom_site_fract_z
Re1 0.000 0.000 0.411
Re2 0.000 0.000 0.089
K1 0.500 0.500 0.750
Te1 0.500 0.500 0.250
```

Properties
crystal system: orthorhombic
SG: No. 47
size of the total moment: 0.000 μB per formula unit
formation energy (no corrections): 1.31 eV per atom

# 9
The following is a PBE calculation of a geometry-optimized Tb4Pm2Sm structure, from the Alexandria database.

```
data_Tb4Pm2Sm
_cell_length_a 4.567
_cell_length_b 4.567
_cell_length_c 11.801
_cell_angle_alpha 101.16
_cell_angle_beta 101.16
_cell_angle_gamma 90.00
_space_group_name_H-M_alt 'P 1'
_space_group_IT_number 1
loop_
_space_group_symop_operation_xyz
'x,y,z'
loop_
_atom_site_label
_atom_site_fract_x
_atom_site_fract_y
_atom_site_fract_z
Tb1 0.250 0.750 0.500
Tb2 0.861 0.861 0.722
Tb3 0.139 0.139 0.278
Tb4 0.750 0.250 0.500
Pm1 0.403 0.403 0.807
Pm2 0.597 0.597 0.193
Sm1 0.000 0.000 0.000
```

Properties
crystal system: tetragonal
SG: No. 139
energy of formation: 0.2610 eV/atom
size of the total moment: 0.000 μB per formula unit
offset from the most stable computed form: 217 meV per atom

# 10
The following is a PBE calculation of a geometry-optimized Ac2Pr3Pb3 structure, from the Alexandria database.

```
data_Ac2Pr3Pb3
_cell_length_a 7.238
_cell_length_b 9.657
_cell_length_c 9.657
_cell_angle_alpha 120.00
_cell_angle_beta 90.00
_cell_angle_gamma 90.00
_space_group_name_H-M_alt 'P 1'
_space_group_IT_number 1
loop_
_space_group_symop_operation_xyz
'x,y,z'
loop_
_atom_site_label
_atom_site_fract_x
_atom_site_fract_y
_atom_site_fract_z
Ac1 0.500 0.333 0.667
Ac2 0.000 0.667 0.333
Ac3 0.500 0.667 0.333
Ac4 0.000 0.333 0.667
Pr1 0.250 0.762 0.000
Pr2 0.750 0.000 0.238
Pr3 0.250 0.238 0.238
Pr4 0.750 0.762 0.762
Pr5 0.750 0.238 0.000
Pr6 0.250 0.000 0.762
Pb1 0.750 0.000 0.613
Pb2 0.750 0.613 0.000
Pb3 0.750 0.387 0.387
Pb4 0.250 0.000 0.387
Pb5 0.250 0.613 0.613
Pb6 0.250 0.387 0.000
```

Properties
crystal system: hexagonal
SG: No. 193
energy of formation: -0.4726 eV/atom
size of the total moment: 0.000 μB per formula unit